Sm4TcHg | GGA-PBE | relaxed

Its calculated total energy is -5.132 eV per atom.

The space group is C2/c (No. 15) and the conventional cell measures 8.670, 12.931 and 6.402 Å, with angles of 90.00, 106.00 and 90.00 degrees. The inequivalent atoms are Sm at (0.106, 0.170, 0.041), Sm at (0.215, 0.420, 0.405), Tc at (0.000, 0.001, 0.250) and Hg at (0.000, 0.374, 0.750).

---

SmHgTe | GGA-PBE | relaxed

The value obtained for the relative energy among the computed polymorphs is 152.9 meV per atom.

The space group is F-43m (No. 216) and the conventional cell measures 7.381, 7.381 and 7.381 Å, with angles of 90.00, 90.00 and 90.00 degrees. The inequivalent atoms are Sm at (0.000, 0.000, 0.000), Hg at (0.000, 0.000, 0.500) and Te at (0.250, 0.250, 0.750).

---

Sm4HgTe3 | GGA-PBE | relaxed

Its calculated total energy is -4.748 eV per atom.

The space group is Cmmm (No. 65) and the conventional cell measures 9.065, 12.543 and 4.334 Å, with angles of 90.00, 90.00 and 90.00 degrees. The inequivalent atoms are Sm at (0.000, 0.245, 0.000), Sm at (0.242, 0.000, 0.500), Hg at (0.000, 0.000, 0.000), Te at (0.000, 0.500, 0.000) and Te at (0.250, 0.250, 0.500).